1.
# Ca2SnPbO (SCAN, single point on PBEsol structure)
# **Magnetization**: 0.0000 μB per atom
# **VASP energy**: -28.7972 eV per atom
# **N(E_F)**: 1.10 states/eV/f.u.
# **Formation energy without anion corrections**: -1345 meV/atom
# **Crystal system**: tetragonal
data_Ca2SnPbO
_chemical_formula_sum 'Ca2 Sn1 Pb1 O1'
_symmetry_space_group_name_H-M 'P 4/m m m'
_symmetry_Int_Tables_number 123
_symmetry_space_group_name_Hall '-P 4 2'
_cell_length_a 4.752
_cell_length_b 4.752
_cell_length_c 5.029
_cell_angle_alpha 90.00
_cell_angle_beta 90.00
_cell_angle_gamma 90.00
loop_
_atom_site_label
_atom_site_fract_x
_atom_site_fract_y
_atom_site_fract_z
Ca1 0.000 0.500 0.000
Sn1 0.000 0.000 0.500
Pb1 0.500 0.500 0.500
O1 0.500 0.500 0.000

---

2.
# Ca3Ti4PbO12 (SCAN, single point on PBEsol structure)
# **Magnetization**: 0.0000 μB per atom
# **VASP energy**: -15.3868 eV per atom
# **N(E_F)**: 0.00 states/eV/f.u.
# **Formation energy without anion corrections**: -3203 meV/atom
# **Crystal system**: monoclinic
data_Ca3Ti4PbO12
_chemical_formula_sum 'Ca3 Ti4 Pb1 O12'
_symmetry_space_group_name_H-M 'P 1 m 1'
_symmetry_Int_Tables_number 6
_cell_length_a 5.422
_cell_length_b 7.670
_cell_length_c 5.477
_cell_angle_alpha 90.00
_cell_angle_beta 90.11
_cell_angle_gamma 90.00
loop_
_symmetry_equiv_pos_as_xyz
'x,y,z'
'x,-y,z'
loop_
_atom_site_label
_atom_site_fract_x
_atom_site_fract_y
_atom_site_fract_z
Ca1 0.000 0.000 0.000
Ca2 0.009 0.500 0.070
Ca3 0.513 0.000 0.490
Ti1 0.007 0.245 0.529
Ti2 0.501 0.247 0.024
Pb1 0.503 0.500 0.544
O1 0.085 0.000 0.571
O2 0.213 0.285 0.838
O3 0.289 0.269 0.325
O4 0.436 0.000 0.052
O5 0.577 0.500 0.050
O6 0.721 0.208 0.758
O7 0.793 0.207 0.261
O8 0.961 0.500 0.518

---

3.
# CaPd3O4 (SCAN, single point on PBEsol structure)
# **Magnetization**: 0.0000 μB per atom
# **VASP energy**: -18.0048 eV per atom
# **N(E_F)**: 1.18 states/eV/f.u.
# **Formation energy without anion corrections**: -1391 meV/atom
# **Crystal system**: cubic
data_CaPd3O4
_chemical_formula_sum 'Ca2 Pd6 O8'
_symmetry_space_group_name_H-M 'P m -3 n'
_symmetry_Int_Tables_number 223
_symmetry_space_group_name_Hall '-P 4n 2 3'
_cell_length_a 5.727
_cell_length_b 5.727
_cell_length_c 5.727
_cell_angle_alpha 90.00
_cell_angle_beta 90.00
_cell_angle_gamma 90.00
loop_
_atom_site_label
_atom_site_fract_x
_atom_site_fract_y
_atom_site_fract_z
Ca1 0.000 0.000 0.000
Pd1 0.000 0.250 0.500
O1 0.250 0.250 0.250